(1)
A geometry-optimized AsRu3 structure. Source: Alexandria via LeMat-Bulk, functional PBE.

energy above the lowest structure with this stoichiometry: 0.067 eV per atom
formation enthalpy at 0 K: 0.132 eV/atom

Lattice parameters (Å, degrees): 4.670 4.670 4.670 131.22 131.22 71.46
Sites, in units of the cell vectors:
Ru  0.500  0.500  0.000
Ru  0.250  0.750  0.500
Ru  0.750  0.250  0.500
As  0.000  0.000  0.000



(2)
A geometry-optimized Tb5Sn2Pb2 structure. Source: Alexandria via LeMat-Bulk, functional PBE.

formation enthalpy at 0 K: -0.663 eV/atom

Lattice parameters (Å, degrees): 8.228 8.215 8.856 90.00 62.32 90.00
Sites, in units of the cell vectors:
Pb  0.208  0.000  0.585
Pb  0.792  0.000  0.415
Pb  0.708  0.500  0.585
Pb  0.292  0.500  0.415
Tb  0.306  0.668  0.730
Tb  0.536  0.832  0.270
Tb  0.500  0.500  0.000
Tb  0.964  0.332  0.730
Tb  0.036  0.668  0.270
Tb  0.694  0.332  0.270
Tb  0.194  0.168  0.270
Tb  0.000  0.000  0.000
Tb  0.806  0.832  0.730
Tb  0.464  0.168  0.730
Sn  0.867  0.634  0.000
Sn  0.367  0.866  0.000
Sn  0.633  0.134  0.000
Sn  0.133  0.366  0.000



(3)
A geometry-optimized HfCdBi3 structure. Source: Alexandria via LeMat-Bulk, functional PBE.

energy above the lowest structure with this stoichiometry: 0.000 eV per atom
formation enthalpy at 0 K: 0.325 eV/atom

Lattice parameters (Å, degrees): 5.652 5.652 5.652 90.00 90.00 90.00
Sites, in units of the cell vectors:
Hf  0.000  0.000  0.000
Bi  0.500  0.000  0.000
Bi  0.000  0.000  0.500
Bi  0.000  0.500  0.000
Cd  0.500  0.500  0.500



(4)
A geometry-optimized Sc2TaS structure. Source: Alexandria via LeMat-Bulk, functional PBE.

uncorrected energy: -7.372 eV per atom

Lattice parameters (Å, degrees): 8.190 8.190 6.285 49.34 49.34 90.00
Sites, in units of the cell vectors:
Ta  0.750  0.250  0.500
Ta  0.000  0.000  0.000
S  0.250  0.750  0.500
S  0.500  0.500  0.000
Sc  0.875  0.779  0.750
Sc  0.375  0.471  0.750
Sc  0.529  0.125  0.250
Sc  0.221  0.625  0.250



(5)
A geometry-optimized ScAgSn2 structure. Source: Alexandria via LeMat-Bulk, functional PBE.

energy above the lowest structure with this stoichiometry: 0.445 eV per atom
formation enthalpy at 0 K: 0.099 eV/atom

Lattice parameters (Å, degrees): 3.325 3.325 10.639 81.01 81.01 60.00
Sites, in units of the cell vectors:
Ag  0.500  0.500  0.500
Sc  0.000  0.000  0.000
Sn  0.094  0.094  0.719
Sn  0.906  0.906  0.281



(6)
A geometry-optimized Pm4GaSeCl2 structure. Source: Alexandria via LeMat-Bulk, functional PBE.

uncorrected energy: -4.973 eV per atom

Lattice parameters (Å, degrees): 4.240 7.143 7.356 69.75 90.00 90.00
Sites, in units of the cell vectors:
Cl  0.500  0.000  0.500
Cl  0.000  0.000  0.000
Pm  0.500  0.734  0.245
Pm  0.000  0.265  0.236
Pm  0.000  0.735  0.764
Pm  0.500  0.266  0.755
Ga  0.500  0.500  0.000
Se  0.000  0.500  0.500



(7)
A geometry-optimized Na3YPu2Te6 structure. Source: Alexandria via LeMat-Bulk, functional PBE.

uncorrected energy: -5.955 eV per atom

Lattice parameters (Å, degrees): 7.747 7.747 7.944 99.35 99.35 119.99
Each line ends with the local moment (μB).
Sites, in units of the cell vectors:
Y  0.000  0.000  0.000  0.02
Te  0.409  0.078  0.234  -0.08
Te  0.922  0.591  0.766  -0.08
Te  0.253  0.253  0.766  -0.08
Te  0.591  0.922  0.766  -0.08
Te  0.078  0.409  0.234  -0.08
Te  0.747  0.747  0.234  -0.08
Na  0.500  0.500  0.500  0.00
Na  0.167  0.833  0.500  0.00
Na  0.833  0.167  0.500  0.00
Pu  0.667  0.333  0.000  5.21
Pu  0.333  0.667  0.000  5.21



(8)
A geometry-optimized Zn2Ir structure. Source: Alexandria via LeMat-Bulk, functional PBE.

formation enthalpy at 0 K: 0.126 eV/atom

Lattice parameters (Å, degrees): 2.666 6.625 6.625 90.00 90.00 90.00
Each line ends with the local moment (μB).
Sites, in units of the cell vectors:
Zn  0.000  0.266  0.267  0.01
Zn  0.000  0.734  0.733  0.01
Zn  0.500  0.234  0.767  0.01
Zn  0.500  0.766  0.233  0.01
Ir  0.500  0.500  0.500  0.53
Ir  0.000  0.000  0.000  0.53